[1]
Computed, not measured: a geometry-optimized LaZn2Pt2Au structure at the PBE-GGA level of DFT.

Calculated values
* Fermi-level density of states: 3.635 states/eV/f.u.
* calculated total energy: -24.75 eV for the cell shown
* DFT formation energy: -1.914 eV per formula unit

Cell and atoms, written as CIF:
```
data_LaZn2Pt2Au
_chemical_formula_sum 'La1 Zn2 Pt2 Au1'
_cell_length_a 4.744
_cell_length_b 4.744
_cell_length_c 5.683
_cell_angle_alpha 90.00
_cell_angle_beta 90.00
_cell_angle_gamma 90.00
_space_group_name_H-M_alt 'P 1'
_space_group_IT_number 1
_space_group_name_Hall 'P 1'
loop_
_atom_site_label
_atom_site_type_symbol
_atom_site_fract_x
_atom_site_fract_y
_atom_site_fract_z
La1 La 0.000 0.000 0.500
Zn1 Zn 0.500 0.000 0.000
Zn2 Zn 0.000 0.500 0.000
Pt1 Pt 0.500 0.500 0.741
Pt2 Pt 0.500 0.500 0.259
Au1 Au 0.000 0.000 0.000
```

=====

[2]
Computed, not measured: a geometry-optimized La2Zn2Pt5Au structure at the PBE-GGA level of DFT.

Calculated values
* Fermi-level density of states: 2.409 states/eV/f.u.
* calculated total energy: -106.66 eV for the cell shown
* DFT formation energy: -7.447 eV per formula unit

Cell and atoms, written as CIF:
```
data_La2Zn2Pt5Au
_chemical_formula_sum 'La4 Zn4 Pt10 Au2'
_cell_length_a 3.915
_cell_length_b 9.775
_cell_length_c 9.775
_cell_angle_alpha 90.00
_cell_angle_beta 90.00
_cell_angle_gamma 90.00
_space_group_name_H-M_alt 'P 1'
_space_group_IT_number 1
_space_group_name_Hall 'P 1'
loop_
_atom_site_label
_atom_site_type_symbol
_atom_site_fract_x
_atom_site_fract_y
_atom_site_fract_z
La1 La 0.000 0.680 0.180
La2 La 0.000 0.320 0.820
La3 La 0.000 0.180 0.320
La4 La 0.000 0.820 0.680
Zn1 Zn 0.000 0.118 0.618
Zn2 Zn 0.000 0.882 0.382
Zn3 Zn 0.000 0.618 0.882
Zn4 Zn 0.000 0.382 0.118
Pt1 Pt 0.500 0.208 0.063
Pt2 Pt 0.500 0.792 0.937
Pt3 Pt 0.500 0.063 0.792
Pt4 Pt 0.500 0.708 0.437
Pt5 Pt 0.500 0.937 0.208
Pt6 Pt 0.500 0.292 0.563
Pt7 Pt 0.500 0.563 0.708
Pt8 Pt 0.500 0.437 0.292
Pt9 Pt 0.500 0.500 0.000
Pt10 Pt 0.500 0.000 0.500
Au1 Au 0.000 0.000 0.000
Au2 Au 0.000 0.500 0.500
```

=====

Question: What is the formula in the second record?
Answer: La2Zn2Pt5Au